No. 1
A plane-wave DFT calculation with PBE was carried out for a relaxed structure of TiBeNi.

Calculated values
- D(E_F) (states/eV per cell) = 6.84
- total magnetic moment (μB per cell) = 0.00
- final energy (eV/atom) = -5.761
- energy above the most stable polymorph in this dataset (meV/atom) = 396
- calculated volume (Å³/cell) = 76.81

Lattice parameters (Å, degrees): 4.200 5.177 4.200 71.19 78.15 108.81
Positions (direct):
Ti 0.773 0.479 0.227
Ti 0.293 0.521 0.707
Ni 0.749 0.000 0.685
Ni 0.315 0.000 0.251
Be 0.832 0.000 0.168
Be 0.233 0.000 0.767


No. 2
A plane-wave DFT calculation with PBE was carried out for a relaxed structure of Ti3Be8Ni.

Calculated values
- D(E_F) (states/eV per cell) = 3.68
- total magnetic moment (μB per cell) = 1.88
- final energy (eV/atom) = -5.186
- calculated volume (Å³/cell) = 124.08

Lattice parameters (Å, degrees): 4.425 4.425 7.750 73.41 73.41 60.00
Each line ends with the local moment (μB).
Positions (direct):
Be 0.940 0.940 0.683  0.01
Be 0.437 0.934 0.192  0.01
Be 0.940 0.437 0.683  0.01
Be 0.437 0.437 0.192  0.01
Be 0.188 0.188 0.435  0.01
Be 0.686 0.686 0.941  -0.02
Be 0.437 0.940 0.683  0.01
Be 0.934 0.437 0.192  0.01
Ti 0.998 0.998 0.007  0.75
Ti 0.502 0.502 0.494  0.03
Ti 0.375 0.375 0.874  0.73
Ni 0.876 0.876 0.373  -0.03


No. 3
A plane-wave DFT calculation with PBE was carried out for a relaxed structure of Ti3Be2Ni.

Calculated values
- D(E_F) (states/eV per cell) = 5.66
- total magnetic moment (μB per cell) = 0.00
- final energy (eV/atom) = -6.354
- calculated volume (Å³/cell) = 77.82

Lattice parameters (Å, degrees): 2.981 2.981 8.756 90.00 90.00 90.00
Positions (direct):
Be 0.500 0.500 0.163
Be 0.500 0.500 0.837
Ti 0.000 0.000 0.672
Ti 0.000 0.000 0.000
Ti 0.000 0.000 0.328
Ni 0.500 0.500 0.500


No. 4
A plane-wave DFT calculation with PBE was carried out for a relaxed structure of Ti2Be2Ni.

Calculated values
- D(E_F) (states/eV per cell) = 8.86
- total magnetic moment (μB per cell) = 0.00
- final energy (eV/atom) = -6.052
- calculated volume (Å³/cell) = 121.51

Lattice parameters (Å, degrees): 5.984 5.984 3.393 90.00 90.00 90.00
Positions (direct):
Be 0.627 0.127 0.000
Be 0.127 0.373 0.000
Be 0.873 0.627 0.000
Be 0.373 0.873 0.000
Ni 0.000 0.000 0.000
Ni 0.500 0.500 0.000
Ti 0.328 0.172 0.500
Ti 0.172 0.672 0.500
Ti 0.672 0.828 0.500
Ti 0.828 0.328 0.500


No. 5
A plane-wave DFT calculation with PBE was carried out for a relaxed structure of TiBeNi2.

Calculated values
- D(E_F) (states/eV per cell) = 5.92
- total magnetic moment (μB per cell) = 0.00
- final energy (eV/atom) = -5.775
- calculated volume (Å³/cell) = 96.63

Lattice parameters (Å, degrees): 6.271 6.271 5.070 51.79 51.79 90.00
Positions (direct):
Ni 0.875 0.822 0.750
Ni 0.572 0.125 0.250
Ni 0.375 0.428 0.750
Ni 0.178 0.625 0.250
Ti 0.000 0.000 0.000
Ti 0.750 0.250 0.500
Be 0.500 0.500 0.000
Be 0.250 0.750 0.500


No. 6
A plane-wave DFT calculation with PBE was carried out for a relaxed structure of Ti2BeNi9.

Calculated values
- D(E_F) (states/eV per cell) = 11.44
- total magnetic moment (μB per cell) = 1.12
- final energy (eV/atom) = -6.338
- calculated volume (Å³/cell) = 134.39

Lattice parameters (Å, degrees): 3.572 3.572 10.532 90.00 90.00 90.00
Each line ends with the local moment (μB).
Positions (direct):
Ni 0.500 0.000 0.500  0.04
Ni 0.500 0.500 0.672  0.05
Ni 0.000 0.500 0.500  0.04
Ni 0.500 0.500 0.000  0.36
Ni 0.000 0.500 0.154  0.20
Ni 0.500 0.500 0.328  0.05
Ni 0.500 0.000 0.846  0.20
Ni 0.000 0.500 0.846  0.20
Ni 0.500 0.000 0.154  0.20
Ti 0.000 0.000 0.324  -0.05
Ti 0.000 0.000 0.676  -0.05
Be 0.000 0.000 0.000  -0.01


No. 7
A plane-wave DFT calculation with PBE was carried out for a relaxed structure of TiBeNi2.

Calculated values
- D(E_F) (states/eV per cell) = 2.05
- total magnetic moment (μB per cell) = 0.00
- final energy (eV/atom) = -6.194
- calculated volume (Å³/cell) = 44.35

Lattice parameters (Å, degrees): 2.623 2.623 6.445 90.00 90.00 90.00
Positions (direct):
Ni 0.000 0.000 0.206
Ni 0.000 0.000 0.794
Be 0.500 0.500 0.000
Ti 0.500 0.500 0.500


No. 8
A plane-wave DFT calculation with PBE was carried out for a relaxed structure of TiBeNi.

Calculated values
- D(E_F) (states/eV per cell) = 5.51
- total magnetic moment (μB per cell) = 0.00
- final energy (eV/atom) = -6.068
- energy above the most stable polymorph in this dataset (meV/atom) = 89
- calculated volume (Å³/cell) = 70.37

Lattice parameters (Å, degrees): 2.833 2.834 8.766 90.00 89.99 90.00
Positions (direct):
Ti 0.873 0.291 0.145
Ti 0.372 0.791 0.368
Be 0.373 0.791 0.689
Be 0.872 0.291 0.824
Ni 0.872 0.291 0.557
Ni 0.372 0.791 0.955


No. 9
A plane-wave DFT calculation with PBE was carried out for a relaxed structure of Ti2BeNi8.

Calculated values
- D(E_F) (states/eV per cell) = 12.88
- total magnetic moment (μB per cell) = 0.00
- final energy (eV/atom) = -6.253
- calculated volume (Å³/cell) = 127.28

Lattice parameters (Å, degrees): 4.048 5.188 6.895 112.08 107.07 90.00
Positions (direct):
Be 0.500 0.000 0.000
Ni 0.631 0.871 0.261
Ni 0.177 0.177 0.354
Ni 0.630 0.391 0.261
Ni 0.823 0.823 0.646
Ni 0.369 0.129 0.739
Ni 0.370 0.609 0.739
Ni 0.000 0.252 0.000
Ni 0.000 0.748 0.000
Ti 0.807 0.307 0.614
Ti 0.193 0.693 0.386


No. 10
A plane-wave DFT calculation with PBE was carried out for a relaxed structure of TiBe17Ni.

Calculated values
- D(E_F) (states/eV per cell) = 3.18
- total magnetic moment (μB per cell) = 0.00
- final energy (eV/atom) = -4.185
- calculated volume (Å³/cell) = 162.35

Lattice parameters (Å, degrees): 5.499 5.499 5.499 82.53 82.53 82.53
Positions (direct):
Be 0.701 0.304 0.995
Be 0.995 0.304 0.701
Be 0.654 0.143 0.654
Be 0.098 0.098 0.098
Be 0.492 0.011 0.011
Be 0.831 0.350 0.350
Be 0.654 0.654 0.143
Be 0.995 0.701 0.304
Be 0.350 0.350 0.831
Be 0.899 0.899 0.899
Be 0.304 0.701 0.995
Be 0.011 0.011 0.492
Be 0.011 0.492 0.011
Be 0.304 0.995 0.701
Be 0.143 0.654 0.654
Be 0.701 0.995 0.304
Be 0.350 0.831 0.350
Ni 0.672 0.672 0.672
Ti 0.337 0.337 0.337


No. 11
A plane-wave DFT calculation with PBE was carried out for a relaxed structure of Ti2BeNi.

Calculated values
- D(E_F) (states/eV per cell) = 3.69
- total magnetic moment (μB per cell) = 0.00
- final energy (eV/atom) = -6.563
- calculated volume (Å³/cell) = 52.54

Lattice parameters (Å, degrees): 3.024 3.024 5.743 90.00 90.00 90.00
Positions (direct):
Ti 0.000 0.000 0.244
Ti 0.000 0.000 0.756
Ni 0.500 0.500 0.500
Be 0.500 0.500 0.000


No. 12
A plane-wave DFT calculation with PBE was carried out for a relaxed structure of TiBeNi3.

Calculated values
- D(E_F) (states/eV per cell) = 2.59
- total magnetic moment (μB per cell) = 0.00
- final energy (eV/atom) = -4.651
- energy above the most stable polymorph in this dataset (meV/atom) = 1382
- calculated volume (Å³/cell) = 78.25

Lattice parameters (Å, degrees): 4.277 4.277 4.277 90.00 90.00 90.00
Positions (direct):
Ti 0.000 0.000 0.000
Ni 0.500 0.000 0.000
Ni 0.000 0.500 0.000
Ni 0.000 0.000 0.500
Be 0.500 0.500 0.500


No. 13
A plane-wave DFT calculation with PBE was carried out for a relaxed structure of TiBeNi.

Calculated values
- D(E_F) (states/eV per cell) = 2.12
- total magnetic moment (μB per cell) = 0.16
- final energy (eV/atom) = -6.092
- energy above the most stable polymorph in this dataset (meV/atom) = 66
- calculated volume (Å³/cell) = 35.53

Lattice parameters (Å, degrees): 2.636 3.946 3.946 120.00 90.00 90.00
Each line ends with the local moment (μB).
Positions (direct):
Be 0.167 0.000 0.000  0.00
Ni 0.166 0.333 0.667  0.01
Ti 0.667 0.667 0.333  0.13


No. 14
A plane-wave DFT calculation with PBE was carried out for a relaxed structure of TiBeTl2Ni.

Calculated values
- D(E_F) (states/eV per cell) = 6.79
- total magnetic moment (μB per cell) = 0.56
- final energy (eV/atom) = -3.087
- calculated volume (Å³/cell) = 127.20

Lattice parameters (Å, degrees): 5.345 5.345 4.452 90.00 90.00 90.00
Each line ends with the local moment (μB).
Positions (direct):
Ni 0.500 0.500 0.500  0.58
Be 0.000 0.000 0.500  0.01
Tl 0.000 0.500 0.000  -0.01
Tl 0.500 0.000 0.000  -0.01
Ti 0.000 0.000 0.000  -0.01


No. 15
A plane-wave DFT calculation with PBE was carried out for a relaxed structure of TiBe2ZnNi.

Calculated values
- D(E_F) (states/eV per cell) = 4.14
- total magnetic moment (μB per cell) = 0.48
- final energy (eV/atom) = -3.636
- calculated volume (Å³/cell) = 74.75

Lattice parameters (Å, degrees): 4.002 4.667 4.002 90.00 90.00 90.00
Each line ends with the local moment (μB).
Positions (direct):
Ni 0.500 0.500 0.500  -0.03
Be 0.000 0.000 0.500  -0.01
Be 0.500 0.000 0.000  0.00
Ti 0.000 0.500 0.000  0.38
Zn 0.000 0.000 0.000  0.03


No. 16
A plane-wave DFT calculation with PBE was carried out for a relaxed structure of TiBeZnNi.

Calculated values
- D(E_F) (states/eV per cell) = 1.40
- total magnetic moment (μB per cell) = 0.00
- final energy (eV/atom) = -4.946
- calculated volume (Å³/cell) = 48.59

Lattice parameters (Å, degrees): 4.096 4.096 4.096 60.00 60.00 60.00
Positions (direct):
Ti 0.250 0.250 0.250
Ni 0.000 0.000 0.000
Zn 0.750 0.750 0.750
Be 0.500 0.500 0.500


No. 17
A plane-wave DFT calculation with PBE was carried out for a relaxed structure of Be2TlNi2.

Calculated values
- D(E_F) (states/eV per cell) = 1.44
- total magnetic moment (μB per cell) = 0.00
- final energy (eV/atom) = -4.152
- energy above the most stable polymorph in this dataset (meV/atom) = 85
- calculated volume (Å³/cell) = 63.81

Lattice parameters (Å, degrees): 3.259 3.259 6.434 75.33 75.33 90.00
Positions (direct):
Be 0.250 0.750 0.500
Be 0.750 0.250 0.500
Ni 0.380 0.380 0.239
Ni 0.620 0.620 0.761
Tl 0.000 0.000 0.000


No. 18
A plane-wave DFT calculation with PBE was carried out for a relaxed structure of BeTl2Ni.

Calculated values
- D(E_F) (states/eV per cell) = 3.89
- total magnetic moment (μB per cell) = 0.00
- final energy (eV/atom) = -2.963
- energy above the most stable polymorph in this dataset (meV/atom) = 369
- calculated volume (Å³/cell) = 75.24

Lattice parameters (Å, degrees): 7.879 7.879 7.879 24.72 24.72 24.72
Positions (direct):
Tl 0.001 0.001 0.001
Tl 0.499 0.499 0.499
Be 0.250 0.250 0.250
Ni 0.750 0.750 0.750


No. 19
A plane-wave DFT calculation with PBE was carried out for a relaxed structure of BeTl2Ni.

Calculated values
- D(E_F) (states/eV per cell) = 5.08
- total magnetic moment (μB per cell) = 0.00
- final energy (eV/atom) = -2.862
- energy above the most stable polymorph in this dataset (meV/atom) = 470
- calculated volume (Å³/cell) = 164.37

Lattice parameters (Å, degrees): 4.378 4.378 9.117 76.11 76.11 90.00
Positions (direct):
Ni 0.750 0.250 0.500
Ni 0.000 0.000 0.000
Be 0.250 0.750 0.500
Be 0.500 0.500 0.000
Tl 0.375 0.379 0.750
Tl 0.875 0.871 0.750
Tl 0.621 0.125 0.250
Tl 0.129 0.625 0.250


No. 20
A plane-wave DFT calculation with PBE was carried out for a relaxed structure of BeTl2Ni.

Calculated values
- D(E_F) (states/eV per cell) = 2.24
- total magnetic moment (μB per cell) = 0.00
- final energy (eV/atom) = -2.974
- energy above the most stable polymorph in this dataset (meV/atom) = 358
- calculated volume (Å³/cell) = 74.22

Lattice parameters (Å, degrees): 4.410 4.410 4.817 72.49 72.49 57.50
Positions (direct):
Ni 0.750 0.750 0.750
Tl 0.494 0.494 0.502
Tl 0.006 0.006 0.998
Be 0.250 0.250 0.250


No. 21
A plane-wave DFT calculation with PBE was carried out for a relaxed structure of BeTl2Ni.

Calculated values
- D(E_F) (states/eV per cell) = 2.49
- total magnetic moment (μB per cell) = 0.00
- final energy (eV/atom) = -2.926
- energy above the most stable polymorph in this dataset (meV/atom) = 406
- calculated volume (Å³/cell) = 72.67

Lattice parameters (Å, degrees): 5.438 5.438 5.438 137.46 137.46 61.72
Positions (direct):
Be 0.500 0.500 0.000
Ni 0.750 0.250 0.500
Tl 0.000 0.000 0.000
Tl 0.250 0.750 0.500


No. 22
A plane-wave DFT calculation with PBE was carried out for a relaxed structure of BeTl2Ni.

Calculated values
- D(E_F) (states/eV per cell) = 2.30
- total magnetic moment (μB per cell) = 0.00
- final energy (eV/atom) = -3.252
- energy above the most stable polymorph in this dataset (meV/atom) = 80
- calculated volume (Å³/cell) = 73.52

Lattice parameters (Å, degrees): 3.547 4.057 5.465 69.21 90.00 90.00
Positions (direct):
Ni 0.500 0.565 0.743
Be 0.000 0.689 0.498
Tl 0.500 0.266 0.338
Tl 0.000 0.979 0.921


No. 23
A plane-wave DFT calculation with PBE was carried out for a relaxed structure of BeTl2Ni.

Calculated values
- D(E_F) (states/eV per cell) = 3.70
- total magnetic moment (μB per cell) = 0.00
- final energy (eV/atom) = -2.779
- energy above the most stable polymorph in this dataset (meV/atom) = 553
- calculated volume (Å³/cell) = 77.69

Lattice parameters (Å, degrees): 4.789 4.789 4.789 60.00 60.00 60.00
Positions (direct):
Tl 0.000 0.000 0.000
Tl 0.750 0.750 0.750
Ni 0.250 0.250 0.250
Be 0.500 0.500 0.500


No. 24
A plane-wave DFT calculation with PBE was carried out for a relaxed structure of BeTl2Ni.

Calculated values
- D(E_F) (states/eV per cell) = 1.49
- total magnetic moment (μB per cell) = 0.00
- final energy (eV/atom) = -2.967
- energy above the most stable polymorph in this dataset (meV/atom) = 365
- calculated volume (Å³/cell) = 73.72

Lattice parameters (Å, degrees): 3.538 3.538 6.047 90.00 90.00 103.06
Positions (direct):
Be 0.500 0.500 0.250
Tl 0.000 0.000 0.501
Tl 0.000 0.000 0.999
Ni 0.500 0.500 0.750


No. 25
A plane-wave DFT calculation with PBE was carried out for a relaxed structure of BeTl2Ni.

Calculated values
- D(E_F) (states/eV per cell) = 1.48
- total magnetic moment (μB per cell) = 0.00
- final energy (eV/atom) = -3.306
- energy above the most stable polymorph in this dataset (meV/atom) = 26
- calculated volume (Å³/cell) = 80.89

Lattice parameters (Å, degrees): 3.789 3.789 6.528 89.92 89.92 59.66
Positions (direct):
Tl 0.124 0.124 0.900
Tl 0.126 0.126 0.350
Ni 0.792 0.792 0.625
Be 0.459 0.459 0.625


No. 26
A plane-wave DFT calculation with PBE was carried out for a relaxed structure of BeTlNi4.

Calculated values
- D(E_F) (states/eV per cell) = 7.85
- total magnetic moment (μB per cell) = 0.96
- final energy (eV/atom) = -4.602
- calculated volume (Å³/cell) = 77.63

Lattice parameters (Å, degrees): 4.788 4.788 4.788 60.00 60.00 60.00
Each line ends with the local moment (μB).
Positions (direct):
Ni 0.877 0.374 0.374  0.24
Ni 0.374 0.374 0.877  0.24
Ni 0.374 0.877 0.374  0.24
Ni 0.374 0.374 0.374  0.24
Be 0.000 0.000 0.000  0.00
Tl 0.750 0.750 0.750  0.00


No. 27
A plane-wave DFT calculation with PBE was carried out for a relaxed structure of BeTl2Ni.

Calculated values
- D(E_F) (states/eV per cell) = 2.62
- total magnetic moment (μB per cell) = 0.00
- final energy (eV/atom) = -2.935
- energy above the most stable polymorph in this dataset (meV/atom) = 397
- calculated volume (Å³/cell) = 72.62

Lattice parameters (Å, degrees): 4.683 4.683 4.683 60.00 60.00 60.00
Positions (direct):
Tl 0.750 0.750 0.750
Tl 0.250 0.250 0.250
Be 0.000 0.000 0.000
Ni 0.500 0.500 0.500


no.,E_form (eV/atom)
1,0.04
2,-0.25
3,-0.20
4,-0.25
5,0.02
6,-0.38
7,-0.40
8,-0.27
9,-0.27
10,-0.13
11,-0.24
12,1.14
13,-0.29
14,1.34
15,0.84
16,-0.28
17,0.12
18,0.60
19,0.70
20,0.59
21,0.63
22,0.31
23,0.78
24,0.59
25,0.25
26,0.27
27,0.63